No. 1
FeAg2SbP: relaxed, GGA-PBE.

It has space group P4/mmm (No. 123), with a = 4.902 Å, b = 4.902 Å, c = 4.738 Å, α = 90.00°, β = 90.00° and γ = 90.00°. The asymmetric unit holds Fe at (0.000, 0.000, 0.000), Ag at (0.000, 0.500, 0.000), Sb at (0.000, 0.000, 0.500) and P at (0.500, 0.500, 0.500).

The value obtained for the formation energy (no corrections) is 0.9699 eV per atom. The total energy is -3.77 eV per atom. For the spin magnetization, the calculation gives 2.20 Bohr magnetons per cell. The value obtained for the energy above the most stable polymorph in this dataset is 475.9 meV/atom. The calculation puts the density of states at the Fermi level at 3.78 states/eV/cell.



No. 2
Mg11In9Ni4: relaxed, GGA-PBE.

It has space group Cmmm (No. 65), with a = 12.794 Å, b = 19.411 Å, c = 3.981 Å, α = 90.00°, β = 90.00° and γ = 90.00°. The asymmetric unit holds Mg at (0.000, 0.000, 0.000), Mg at (0.000, 0.165, 0.000), Mg at (0.000, 0.375, 0.000), Mg at (0.189, 0.500, 0.000), Mg at (0.245, 0.337, 0.000), In at (0.000, 0.500, 0.500), In at (0.118, 0.262, 0.500), In at (0.142, 0.079, 0.500) and Ni at (0.145, 0.403, 0.500).

The value obtained for the formation energy is -0.119 eV per atom. The total energy is -2.84 eV per atom. For the spin magnetization, the calculation gives 0.00 Bohr magnetons per cell. The calculation puts the density of states at the Fermi level at 15.60 states/eV/cell.



No. 3
ThBe2H6: relaxed, GGA-PBE.

It has space group C2/m (No. 12), with a = 5.627 Å, b = 6.090 Å, c = 4.674 Å, α = 90.00°, β = 102.43° and γ = 90.00°. The asymmetric unit holds Th at (0.000, 0.000, 0.000), Be at (0.102, 0.500, 0.329), H at (0.154, 0.500, 0.655) and H at (0.206, 0.318, 0.204).

The total energy is -4.04 eV per atom. For the spin magnetization, the calculation gives 0.00 Bohr magnetons per cell. The calculation puts the density of states at the Fermi level at 3.76 states/eV/cell.



No. 4
ScNi2Pt: relaxed, GGA-PBE.

It has space group I4/mmm (No. 139), with a = 3.876 Å, b = 3.876 Å, c = 7.523 Å, α = 90.00°, β = 90.00° and γ = 90.00°. The asymmetric unit holds Sc at (0.000, 0.000, 0.000), Ni at (0.000, 0.500, 0.250) and Pt at (0.000, 0.000, 0.500).

The value obtained for the formation energy is -0.578 eV per atom. The total energy is -6.56 eV per atom. For the spin magnetization, the calculation gives 1.13 Bohr magnetons per cell. The calculation puts the density of states at the Fermi level at 12.43 states/eV/cell.



No. 5
Pm6TlIr: relaxed, GGA-PBE.

It has space group C2/m (No. 12), with a = 8.062 Å, b = 10.482 Å, c = 6.652 Å, α = 90.00°, β = 105.11° and γ = 90.00°. The asymmetric unit holds Pm at (0.124, 0.188, 0.288), Pm at (0.219, 0.500, 0.157), Tl at (0.000, 0.500, 0.500) and Ir at (0.000, 0.000, 0.000).

The value obtained for the formation energy is -0.134 eV per atom. The total energy is -5.10 eV per atom. For the spin magnetization, the calculation gives 0.00 Bohr magnetons per cell. The calculation puts the density of states at the Fermi level at 20.87 states/eV/cell.



No. 6
Pm2ScBi2O2: relaxed, GGA-PBE.

It has space group I4/mmm (No. 139), with a = 4.207 Å, b = 4.207 Å, c = 16.900 Å, α = 90.00°, β = 90.00° and γ = 90.00°. The asymmetric unit holds Pm at (0.000, 0.000, 0.105), Sc at (0.000, 0.000, 0.500), Bi at (0.000, 0.000, 0.312) and O at (0.000, 0.500, 0.000).

The value obtained for the formation energy (no corrections) is -1.9156 eV per atom. The total energy is -6.70 eV per atom. For the spin magnetization, the calculation gives 0.00 Bohr magnetons per cell. The calculation puts the density of states at the Fermi level at 4.25 states/eV/cell.



No. 7
KNaZnHg2: relaxed, GGA-PBE.

It has space group P4/mmm (No. 123), with a = 5.448 Å, b = 5.448 Å, c = 5.533 Å, α = 90.00°, β = 90.00° and γ = 90.00°. The asymmetric unit holds K at (0.000, 0.000, 0.000), Na at (0.500, 0.500, 0.000), Zn at (0.500, 0.500, 0.500) and Hg at (0.000, 0.500, 0.500).

The value obtained for the formation energy is -0.063 eV per atom. The total energy is -0.92 eV per atom. For the spin magnetization, the calculation gives 0.00 Bohr magnetons per cell. The calculation puts the density of states at the Fermi level at 2.45 states/eV/cell.



No. 8
Pm3Np2O9: relaxed, GGA-PBE.

It has space group I-4m2 (No. 119), with a = 3.938 Å, b = 3.938 Å, c = 27.882 Å, α = 90.00°, β = 90.00° and γ = 90.00°. The asymmetric unit holds Pm at (0.000, 0.000, 0.000), Pm at (0.000, 0.000, 0.408), Np at (0.000, 0.000, 0.196), O at (0.000, 0.500, 0.050), O at (0.000, 0.500, 0.156), O at (0.000, 0.500, 0.250), O at (0.000, 0.500, 0.555) and O at (0.000, 0.500, 0.672).

The value obtained for the formation energy (no corrections) is -3.0330 eV per atom. The total energy is -9.09 eV per atom. For the spin magnetization, the calculation gives 10.30 Bohr magnetons per cell. The calculation puts the density of states at the Fermi level at 38.58 states/eV/cell.



No. 9
LiMg4Rh: relaxed, GGA-PBE.

It has space group F-43m (No. 216), with a = 7.803 Å, b = 7.803 Å, c = 7.803 Å, α = 90.00°, β = 90.00° and γ = 90.00°. The asymmetric unit holds Li at (0.000, 0.000, 0.000), Mg at (0.124, 0.124, 0.624) and Rh at (0.250, 0.250, 0.250).

The value obtained for the formation energy is 0.140 eV per atom. The total energy is -2.47 eV per atom. For the spin magnetization, the calculation gives 0.00 Bohr magnetons per cell. The value obtained for the energy above the most stable polymorph in this dataset is 386.2 meV/atom. The calculation puts the density of states at the Fermi level at 16.41 states/eV/cell.



No. 10
Na5NbO5: relaxed, GGA-PBE.

It has space group C2/c (No. 15), with a = 6.362 Å, b = 10.356 Å, c = 10.144 Å, α = 90.00°, β = 106.52° and γ = 90.00°. The asymmetric unit holds Na at (0.000, 0.168, 0.250), Na at (0.163, 0.341, 0.077), Na at (0.170, 0.114, 0.551), Nb at (0.000, 0.408, 0.750), O at (0.000, 0.407, 0.250), O at (0.133, 0.329, 0.619) and O at (0.203, 0.108, 0.104).

The value obtained for the formation energy (no corrections) is -1.9244 eV per atom. The total energy is -5.69 eV per atom. For the spin magnetization, the calculation gives 0.00 Bohr magnetons per cell. The calculation puts the density of states at the Fermi level at 0.00 states/eV/cell.



No. 11
Ti2BePb2: relaxed, GGA-PBE.

It has space group P4/mbm (No. 127), with a = 6.626 Å, b = 6.626 Å, c = 4.528 Å, α = 90.00°, β = 90.00° and γ = 90.00°. The asymmetric unit holds Ti at (0.155, 0.345, 0.000), Be at (0.000, 0.000, 0.000) and Pb at (0.167, 0.667, 0.500).

The value obtained for the formation energy is 0.222 eV per atom. The total energy is -5.16 eV per atom. For the spin magnetization, the calculation gives 0.93 Bohr magnetons per cell. The calculation puts the density of states at the Fermi level at 7.66 states/eV/cell.



No. 12
SrMn2Au: relaxed, GGA-PBE.

It has space group C2/m (No. 12), with a = 6.027 Å, b = 10.480 Å, c = 3.282 Å, α = 90.00°, β = 122.09° and γ = 90.00°. The asymmetric unit holds Sr at (0.000, 0.000, 0.000), Mn at (0.250, 0.250, 0.500) and Au at (0.000, 0.500, 0.000).

The value obtained for the formation energy is 0.499 eV per atom. The total energy is -5.33 eV per atom. For the spin magnetization, the calculation gives 15.75 Bohr magnetons per cell. The calculation puts the density of states at the Fermi level at 8.11 states/eV/cell.



No. 13
Rb3ZrTe2O9: relaxed, GGA-PBE.

It has space group P-3m1 (No. 164), with a = 5.8658 Å, b = 5.8658 Å, c = 7.1719 Å, α = 90.00°, β = 90.00° and γ = 120.00°. The asymmetric unit holds Rb at (0.0000, 0.0000, 0.0000), Rb at (0.3333, 0.6667, 0.6709), Zr at (0.0000, 0.0000, 0.5000), Te at (0.3333, 0.6667, 0.1714), O at (0.0000, 0.5000, 0.0000) and O at (0.1731, 0.3461, 0.3287).

The value obtained for the formation energy (no corrections) is -1.6518 eV per atom. The total energy is -5.81 eV per atom. For the spin magnetization, the calculation gives 0.00 Bohr magnetons per cell. The calculation puts the density of states at the Fermi level at 2.51 states/eV/cell.



No. 14
Sc8AlIr2: relaxed, GGA-PBE.

It has space group Immm (No. 71), with a = 4.561 Å, b = 7.250 Å, c = 13.869 Å, α = 90.00°, β = 90.00° and γ = 90.00°. The asymmetric unit holds Sc at (0.000, 0.000, 0.137), Sc at (0.000, 0.217, 0.329), Sc at (0.000, 0.310, 0.000), Al at (0.000, 0.500, 0.500) and Ir at (0.000, 0.500, 0.177).

The value obtained for the formation energy is -0.474 eV per atom. The total energy is -7.03 eV per atom. For the spin magnetization, the calculation gives 0.00 Bohr magnetons per cell. The calculation puts the density of states at the Fermi level at 16.66 states/eV/cell.



No. 15
Be2CoPd: relaxed, GGA-PBE.

It has space group I-42d (No. 122), with a = 5.861 Å, b = 5.861 Å, c = 5.141 Å, α = 90.00°, β = 90.00° and γ = 90.00°. The asymmetric unit holds Be at (0.234, 0.250, 0.125), Co at (0.000, 0.000, 0.000) and Pd at (0.000, 0.000, 0.500).

The value obtained for the formation energy is 0.080 eV per atom. The total energy is -4.86 eV per atom. For the spin magnetization, the calculation gives 2.64 Bohr magnetons per cell. The value obtained for the energy above the most stable polymorph in this dataset is 543.3 meV/atom. The calculation puts the density of states at the Fermi level at 11.65 states/eV/cell.



No. 16
BaY2Al: relaxed, GGA-PBE.

It has space group Imm2 (No. 44), with a = 3.880 Å, b = 5.434 Å, c = 12.246 Å, α = 90.00°, β = 90.00° and γ = 90.00°. The asymmetric unit holds Ba at (0.000, 0.000, 0.000), Y at (0.000, 0.000, 0.420), Y at (0.000, 0.500, 0.208) and Al at (0.000, 0.500, 0.733).

The value obtained for the formation energy is 0.061 eV per atom. The total energy is -4.59 eV per atom. For the spin magnetization, the calculation gives 0.00 Bohr magnetons per cell. The calculation puts the density of states at the Fermi level at 10.24 states/eV/cell.



No. 17
Tl6Pb: relaxed, GGA-PBE.

It has space group P4/mmm (No. 123), with a = 5.492 Å, b = 5.492 Å, c = 7.720 Å, α = 90.00°, β = 90.00° and γ = 90.00°. The asymmetric unit holds Tl at (0.000, 0.000, 0.000), Tl at (0.000, 0.500, 0.238), Tl at (0.500, 0.500, 0.500) and Pb at (0.000, 0.000, 0.500).

The value obtained for the formation energy is 0.052 eV per atom. The total energy is -2.51 eV per atom. For the spin magnetization, the calculation gives 0.00 Bohr magnetons per cell. The value obtained for the energy above the most stable polymorph in this dataset is 45.3 meV/atom. The calculation puts the density of states at the Fermi level at 3.13 states/eV/cell.



No. 18
Li2SbMoAs: relaxed, GGA-PBE.

It has space group P4/mmm (No. 123), with a = 4.783 Å, b = 4.783 Å, c = 5.642 Å, α = 90.00°, β = 90.00° and γ = 90.00°. The asymmetric unit holds Li at (0.000, 0.500, 0.000), Sb at (0.000, 0.000, 0.000), Mo at (0.500, 0.500, 0.500) and As at (0.000, 0.000, 0.500).

The value obtained for the formation energy (no corrections) is 0.8969 eV per atom. The total energy is -3.79 eV per atom. For the spin magnetization, the calculation gives 4.08 Bohr magnetons per cell. The calculation puts the density of states at the Fermi level at 1.89 states/eV/cell.



No. 19
LiZnRu2: relaxed, GGA-PBE.

It has space group R3m (No. 160, hexagonal axes), with a = 2.7241 Å, b = 2.7241 Å, c = 26.7649 Å, α = 90.00°, β = 90.00° and γ = 120.00°. The asymmetric unit holds Li at (0.0000, 0.0000, 0.0000), Zn at (0.0000, 0.0000, 0.2462), Ru at (0.0000, 0.0000, 0.4956) and Ru at (0.0000, 0.0000, 0.7515).

The value obtained for the formation energy is 0.081 eV per atom. The total energy is -5.35 eV per atom. For the spin magnetization, the calculation gives 0.00 Bohr magnetons per cell. The calculation puts the density of states at the Fermi level at 16.42 states/eV/cell.



No. 20
Sc12In3H5: relaxed, GGA-PBE.

It has space group Ia-3d (No. 230), with a = 14.486 Å, b = 14.486 Å, c = 14.486 Å, α = 90.00°, β = 90.00° and γ = 90.00°. The asymmetric unit holds Sc at (0.044, 0.052, 0.649), In at (0.000, 0.250, 0.125), H at (0.000, 0.000, 0.000) and H at (0.000, 0.250, 0.375).

The total energy is -5.26 eV per atom. For the spin magnetization, the calculation gives 0.00 Bohr magnetons per cell. The calculation puts the density of states at the Fermi level at 144.28 states/eV/cell.